## Ho2ErTl2Cd2 (PBE-GGA)

Data for a geometry-optimized Ho2ErTl2Cd2 structure.

Values from the calculation:
Theoretical density   10.04 g/cm³
Calculated formation energy   -0.11 eV per atom

Unit cell a=5.0076 b=5.0076 c=25.8308 alpha=90.00 beta=90.00 gamma=120.00
Space group R-3m (No. 166, hexagonal axes)
Symmetry-distinct sites (fractional):
Ho 0.0000 0.0000 0.1330
Er 0.0000 0.0000 0.0000
Tl 0.0000 0.0000 0.2711
Cd 0.0000 0.0000 0.4287